No. 1
# Lu4B3Sb

A geometry-optimized Lu4B3Sb structure (GGA-PBE, OQMD via LeMat-Bulk).

Its symmetry is No. 194. Its magnetization is 0.00 μB per formula unit. The value obtained for the total energy is -5.3512 eV/atom.

Cell: 3.5179 3.5179 29.2350 Å, 90.00 90.00 120.00°
With the nearest neighbours (Å) after each atom.
Positions (direct):
B: 0.0000 0.0000 0.0000  6 Lu 2.62
B: 0.6667 0.3333 0.1151  6 Lu 2.50-2.66
B: 0.6667 0.3333 0.3849  6 Lu 2.50-2.66
B: 0.0000 0.0000 0.5000  6 Lu 2.62
B: 0.3333 0.6667 0.6151  6 Lu 2.50-2.66
B: 0.3333 0.6667 0.8849  6 Lu 2.50-2.66
Lu: 0.3333 0.6667 0.0566  6 B 2.62-2.66
Lu: 0.0000 0.0000 0.1650  3 B 2.50
Lu: 0.0000 0.0000 0.3350  3 B 2.50
Lu: 0.3333 0.6667 0.4434  6 B 2.62-2.66
Lu: 0.6667 0.3333 0.5566  6 B 2.62-2.66
Lu: 0.0000 0.0000 0.6650  3 B 2.50
Lu: 0.0000 0.0000 0.8350  3 B 2.50
Lu: 0.6667 0.3333 0.9434  6 B 2.62-2.66
Sb: 0.3333 0.6667 0.2500  6 Lu 3.21, 6 Sb 3.52
Sb: 0.6667 0.3333 0.7500  6 Lu 3.21, 6 Sb 3.52

No. 2
# LuSc2B

A geometry-optimized LuSc2B structure (GGA-PBE, OQMD via LeMat-Bulk).

Its symmetry is No. 216. Its magnetization is 1.24 μB per formula unit. The value obtained for the total energy is -5.4258 eV/atom.

Cell: 4.7452 4.7452 4.7452 Å, 60.00 60.00 60.00°
With the nearest neighbours (Å) after each atom.
Positions (direct):
B: 0.5000 0.5000 0.5000  4 Lu 2.91, 4 Sc 2.91
Lu: 0.2500 0.2500 0.2500  4 Sc 2.91, 4 B 2.91
Sc: 0.0000 0.0000 0.0000  4 Lu 2.91, 4 Sc 2.91
Sc: 0.7500 0.7500 0.7500  4 B 2.91, 4 Sc 2.91

No. 3
# Lu2ScB

A geometry-optimized Lu2ScB structure (GGA-PBE, OQMD via LeMat-Bulk).

Its symmetry is No. 216. Its magnetization is 0.93 μB per formula unit. The value obtained for the total energy is -4.8590 eV/atom.

Cell: 4.8437 4.8437 4.8437 Å, 60.00 60.00 60.00°
With the nearest neighbours (Å) after each atom.
Positions (direct):
B: 0.5000 0.5000 0.5000  4 Lu 2.97, 4 Sc 2.97
Lu: 0.0000 0.0000 0.0000  4 Sc 2.97, 4 Lu 2.97
Lu: 0.7500 0.7500 0.7500  4 Lu 2.97, 4 B 2.97
Sc: 0.2500 0.2500 0.2500  4 B 2.97, 4 Lu 2.97

No. 4
# Lu3SiB2

A geometry-optimized Lu3SiB2 structure (GGA-PBE, OQMD via LeMat-Bulk).

Its symmetry is No. 194. Its magnetization is 0.01 μB per formula unit. The value obtained for the total energy is -5.4022 eV/atom.

Cell: 3.4635 3.4635 21.9931 Å, 90.00 90.00 120.00°
With the nearest neighbours (Å) after each atom.
Positions (direct):
B: 0.3333 0.6667 0.0773  6 Lu 2.54-2.62
B: 0.3333 0.6667 0.4227  6 Lu 2.54-2.62
B: 0.6667 0.3333 0.5773  6 Lu 2.54-2.62
B: 0.6667 0.3333 0.9227  6 Lu 2.54-2.62
Lu: 0.0000 0.0000 0.0000  6 B 2.62
Lu: 0.6667 0.3333 0.1483  3 B 2.54
Lu: 0.6667 0.3333 0.3517  3 B 2.54
Lu: 0.0000 0.0000 0.5000  6 B 2.62
Lu: 0.3333 0.6667 0.6483  3 B 2.54
Lu: 0.3333 0.6667 0.8517  3 B 2.54
Si: 0.0000 0.0000 0.2500  6 Lu 3.00
Si: 0.0000 0.0000 0.7500  6 Lu 3.00